A plane-wave DFT calculation with PBE was carried out for crystalline Nd5Cd2Ir2 at its relaxed geometry.

## Properties
- Theoretical density: 8.69 Mg/m³
- Space-group type: No. 64
- Electronic total energy: -5.286 eV/atom
- Calculated volume: 28.24 A^3/atom

Cell lengths 9.0909, 9.0909, 7.9963 Å; angles 90.00, 90.00, 50.28 degrees
Fractional coordinates of all 18 atoms:
Nd: 0.0000 0.0000 0.0000
Nd: 0.0539 0.7101 0.6744
Nd: 0.2101 0.5539 0.1744
Nd: 0.2899 0.9461 0.6744
Nd: 0.4461 0.7899 0.1744
Nd: 0.5000 0.5000 0.5000
Nd: 0.5539 0.2101 0.8256
Nd: 0.7101 0.0539 0.3256
Nd: 0.7899 0.4461 0.8256
Nd: 0.9461 0.2899 0.3256
Cd: 0.2165 0.2165 0.0000
Cd: 0.2835 0.2835 0.5000
Cd: 0.7165 0.7165 0.5000
Cd: 0.7835 0.7835 0.0000
Ir: 0.1285 0.8715 0.3711
Ir: 0.3715 0.6285 0.8711
Ir: 0.6285 0.3715 0.1289
Ir: 0.8715 0.1285 0.6289